# PBE TbSnTeAuS2, relaxed
# Spin magnetization   0.0 μB/f.u.
# Total energy   -56.439 eV per cell
data_TbSnTeAuS2
_chemical_formula_sum 'Tb2 Sn2 Te2 Au2 S4'
_space_group_name_H-M_alt 'P 1'
_space_group_IT_number 1
_space_group_name_Hall 'P 1'
_cell_length_a 7.226
_cell_length_b 7.226
_cell_length_c 11.123
_cell_angle_alpha 90.00
_cell_angle_beta 90.00
_cell_angle_gamma 147.56
loop_
_atom_site_label
_atom_site_type_symbol
_atom_site_fract_x
_atom_site_fract_y
_atom_site_fract_z
Au1 Au 0.974 0.026 0.250
Au2 Au 0.026 0.974 0.750
S1 S 0.871 0.129 0.063
S2 S 0.871 0.129 0.437
S3 S 0.129 0.871 0.563
S4 S 0.129 0.871 0.937
Sn1 Sn 0.302 0.698 0.250
Sn2 Sn 0.698 0.302 0.750
Tb1 Tb 0.500 0.500 0.000
Tb2 Tb 0.500 0.500 0.500
Te1 Te 0.614 0.386 0.250
Te2 Te 0.386 0.614 0.750